#1
# Li8Ca3Cd, optimized geometry, DFT GGA-PBE
# D(E_F): 0.704 states/eV/atom
data_Li8Ca3Cd
_chemical_formula_sum 'Li16 Ca6 Cd2'
_symmetry_space_group_name_H-M 'I -4 2 m'
_symmetry_Int_Tables_number 121
_symmetry_space_group_name_Hall 'I -4 2'
_cell_length_a 8.3610
_cell_length_b 8.3610
_cell_length_c 10.0345
_cell_angle_alpha 90.00
_cell_angle_beta 90.00
_cell_angle_gamma 90.00
loop_
_atom_site_label
_atom_site_fract_x
_atom_site_fract_y
_atom_site_fract_z
Li1 0.1318 0.1318 0.2864
Li2 0.2198 0.2198 0.5568
Ca1 0.0000 0.0000 0.0000
Ca2 0.0000 0.5000 0.2500
Cd1 0.0000 0.0000 0.5000

***

#2
# Li8Ca3Cd, optimized geometry, DFT GGA-PBE
# D(E_F): 0.558 states/eV/atom
data_Li8Ca3Cd
_chemical_formula_sum 'Li24 Ca9 Cd3'
_symmetry_space_group_name_H-M 'R 3 m'
_symmetry_Int_Tables_number 160
_symmetry_space_group_name_Hall 'R 3 -2"'
_cell_length_a 5.9162
_cell_length_b 5.9162
_cell_length_c 29.2441
_cell_angle_alpha 90.00
_cell_angle_beta 90.00
_cell_angle_gamma 120.00
loop_
_atom_site_label
_atom_site_fract_x
_atom_site_fract_y
_atom_site_fract_z
Li1 0.0000 0.0000 0.0000
Li2 0.0000 0.0000 0.4965
Li3 0.1686 0.3372 0.0849
Li4 0.1687 0.3373 0.5776
Ca1 0.0000 0.0000 0.1792
Ca2 0.0000 0.0000 0.3096
Ca3 0.0000 0.0000 0.6966
Cd1 0.0000 0.0000 0.8122

***

Most stable structure: #2

***

#1
# Li2Ca6Cd, optimized geometry, DFT GGA-PBE
# D(E_F): 1.164 states/eV/atom
data_Li2Ca6Cd
_chemical_formula_sum 'Li4 Ca12 Cd2'
_symmetry_space_group_name_H-M 'P n n m'
_symmetry_Int_Tables_number 58
_symmetry_space_group_name_Hall '-P 2 2n'
_cell_length_a 10.5451
_cell_length_b 10.5509
_cell_length_c 5.5609
_cell_angle_alpha 90.00
_cell_angle_beta 90.00
_cell_angle_gamma 90.00
loop_
_atom_site_label
_atom_site_fract_x
_atom_site_fract_y
_atom_site_fract_z
Li1 0.1991 0.2012 0.0000
Ca1 0.0261 0.3119 0.5000
Ca2 0.1217 0.8796 0.0000
Ca3 0.1880 0.5276 0.0000
Cd1 0.0000 0.0000 0.5000

***

#2
# Li2Ca6Cd, optimized geometry, DFT GGA-PBE
# D(E_F): 1.205 states/eV/atom
data_Li2Ca6Cd
_chemical_formula_sum 'Li8 Ca24 Cd4'
_symmetry_space_group_name_H-M 'F m m m'
_symmetry_Int_Tables_number 69
_symmetry_space_group_name_Hall '-F 2 2'
_cell_length_a 5.5244
_cell_length_b 13.3416
_cell_length_c 16.5841
_cell_angle_alpha 90.00
_cell_angle_beta 90.00
_cell_angle_gamma 90.00
loop_
_atom_site_label
_atom_site_fract_x
_atom_site_fract_y
_atom_site_fract_z
Li1 0.0000 0.0000 0.1667
Ca1 0.0000 0.1425 0.0000
Ca2 0.0000 0.1460 0.3357
Cd1 0.0000 0.0000 0.5000

***

Most stable structure: #2

***

#1
# Li3Ca3Cd2, optimized geometry, DFT GGA-PBE
# D(E_F): 0.733 states/eV/atom
data_Li3Ca3Cd2
_chemical_formula_sum 'Li12 Ca12 Cd8'
_symmetry_space_group_name_H-M 'P n m a'
_symmetry_Int_Tables_number 62
_symmetry_space_group_name_Hall '-P 2ac 2n'
_cell_length_a 8.5601
_cell_length_b 16.7552
_cell_length_c 6.1770
_cell_angle_alpha 90.00
_cell_angle_beta 90.00
_cell_angle_gamma 90.00
loop_
_atom_site_label
_atom_site_fract_x
_atom_site_fract_y
_atom_site_fract_z
Li1 0.1730 0.2500 0.1309
Li2 0.1753 0.5347 0.0944
Ca1 0.0344 0.6072 0.6203
Ca2 0.1678 0.7500 0.1374
Cd1 0.1165 0.1102 0.8770

***

#2
# Li3Ca3Cd2, optimized geometry, DFT GGA-PBE
# D(E_F): 0.755 states/eV/atom
data_Li3Ca3Cd2
_chemical_formula_sum 'Li3 Ca3 Cd2'
_symmetry_space_group_name_H-M 'P m m m'
_symmetry_Int_Tables_number 47
_symmetry_space_group_name_Hall '-P 2 2'
_cell_length_a 5.2982
_cell_length_b 5.3084
_cell_length_c 7.7484
_cell_angle_alpha 90.00
_cell_angle_beta 90.00
_cell_angle_gamma 90.00
loop_
_atom_site_label
_atom_site_fract_x
_atom_site_fract_y
_atom_site_fract_z
Li1 0.0000 0.0000 0.0000
Li2 0.0000 0.5000 0.2341
Ca1 0.0000 0.0000 0.5000
Ca2 0.5000 0.5000 0.0000
Ca3 0.5000 0.5000 0.5000
Cd1 0.5000 0.0000 0.2348

***

Most stable structure: #1